Rb2SbRuF6 PBE optimized geometry; formation energy without anion corrections = -1.880 eV per atom; space-group type = I4/mmm; total magnetic moment = 1.00 μB per formula unit
1.0
6.3412 0.0000 0.0000
0.0000 6.3412 0.0000
3.1706 3.1706 4.5110
Sb F Rb Ru
1 6 2 1
direct
0.0000 0.0000 0.0000
0.2486 0.2486 0.5028
0.7514 0.7514 0.4972
0.2495 0.2495 0.0000
0.7505 0.7505 0.0000
0.7505 0.2495 0.0000
0.2495 0.7505 0.0000
0.7500 0.2500 0.5000
0.2500 0.7500 0.5000
0.5000 0.5000 0.0000

=====

Rb2ScRuF PBE optimized geometry; formation energy without anion corrections = 0.647 eV per atom; space-group type = P4/mmm; total magnetic moment = 0.04 μB per formula unit
1.0
7.0324 0.0000 0.0000
0.0000 3.9151 0.0000
0.0000 0.0000 7.0324
Sc Ru Rb F
1 1 2 1
direct
0.5000 0.5000 0.5000
0.0000 0.0000 0.0000
0.0000 0.0000 0.5000
0.5000 0.0000 0.0000
0.0000 0.5000 0.0000

=====

RbScRu2F PBE optimized geometry; formation energy without anion corrections = 0.619 eV per atom; space-group type = P4/mmm; total magnetic moment = 0.00 μB per formula unit
1.0
-0.0520 0.4082 -4.3854
2.9234 -3.7360 -0.3824
-3.4754 -2.6979 -0.2099
Sc Ru Rb F
1 2 1 1
direct
0.5000 0.5000 0.5000
0.0000 0.0000 0.5000
0.5000 0.0000 0.0000
0.0000 0.5000 0.0000
0.0000 0.0000 0.0000

=====

RbRuSeF2 PBE optimized geometry; formation energy without anion corrections = 0.377 eV per atom; space-group type = P4/mmm; total magnetic moment = 2.89 μB per formula unit
1.0
-3.9739 1.2555 -1.2317
-1.3955 -6.3065 -1.9260
-1.5112 -0.8805 3.9782
Ru Se Rb F
1 1 1 2
direct
0.5000 0.5000 0.5000
0.0000 0.0000 0.0000
0.0000 0.5000 0.0000
0.0000 0.0000 0.5000
0.5000 0.0000 0.0000